# KNb3Au PBE optimized geometry
data_KNb3Au
_space_group_name_H-M_alt 'P 1'
_space_group_IT_number 1
_cell_length_a 4.605
_cell_length_b 4.605
_cell_length_c 4.605
_cell_angle_alpha 90.00
_cell_angle_beta 90.00
_cell_angle_gamma 90.00
loop_
_space_group_symop_operation_xyz
'x,y,z'
loop_
_atom_site_label
_atom_site_type_symbol
_atom_site_fract_x
_atom_site_fract_y
_atom_site_fract_z
K1 K 0.000 0.000 0.000
Nb1 Nb 0.000 0.000 0.500
Nb2 Nb 0.000 0.500 0.000
Nb3 Nb 0.500 0.000 0.000
Au1 Au 0.500 0.500 0.500
# - Calculated formation energy: 2478.3 meV per atom
# - Polymorph energy (0 for the lowest one): 810 meV/atom
# - Fermi-level density of states: 6.0 states/eV per cell
# - Density: 8.8 Mg/m³